(1)
# SrLiBiS3

An optimized crystal structure of SrLiBiS3 (GGA-PBE, Alexandria).

Geometry as CIF:
```
data_SrLiBiS3
_cell_length_a 8.542
_cell_length_b 4.057
_cell_length_c 8.711
_cell_angle_alpha 90.00
_cell_angle_beta 103.05
_cell_angle_gamma 90.00
_symmetry_space_group_name_H-M 'P 1 21/m 1'
_symmetry_Int_Tables_number 11
loop_
_symmetry_equiv_pos_as_xyz
'x,y,z'
'-x,-y,-z'
'-x,y+1/2,-z'
'x,-y+1/2,z'
loop_
_atom_site_label
_atom_site_type_symbol
_atom_site_fract_x
_atom_site_fract_y
_atom_site_fract_z
_atom_site_occupancy
Sr1 Sr 0.188 0.250 0.236 1
Li1 Li 0.087 0.250 0.589 1
Bi1 Bi 0.331 0.750 0.833 1
S1 S 0.109 0.250 0.871 1
S2 S 0.200 0.750 0.505 1
S3 S 0.432 0.750 0.169 1
```

(2)
# SrLiBi2S4

An optimized crystal structure of SrLiBi2S4 (GGA-PBE, Alexandria).

Geometry as CIF:
```
data_SrLiBi2S4
_cell_length_a 4.370
_cell_length_b 13.073
_cell_length_c 13.747
_cell_angle_alpha 90.00
_cell_angle_beta 90.00
_cell_angle_gamma 90.00
_symmetry_space_group_name_H-M 'C m c m'
_symmetry_Int_Tables_number 63
_symmetry_space_group_name_Hall '-C 2c 2'
loop_
_atom_site_label
_atom_site_type_symbol
_atom_site_fract_x
_atom_site_fract_y
_atom_site_fract_z
_atom_site_occupancy
Sr1 Sr 0.000 0.123 0.250 1
Li1 Li 0.000 0.140 0.750 1
Bi1 Bi 0.000 0.374 0.053 1
S1 S 0.000 0.000 0.000 1
S2 S 0.000 0.268 0.621 1
S3 S 0.000 0.455 0.250 1
```

(3)
# Li2TbBiS4

An optimized crystal structure of Li2TbBiS4 (GGA-PBE, Alexandria).

Geometry as CIF:
```
data_Li2TbBiS4
_cell_length_a 6.654
_cell_length_b 3.957
_cell_length_c 6.884
_cell_angle_alpha 90.00
_cell_angle_beta 110.20
_cell_angle_gamma 90.00
_symmetry_space_group_name_H-M 'P 1 2/m 1'
_symmetry_Int_Tables_number 10
loop_
_symmetry_equiv_pos_as_xyz
'x,y,z'
'-x,-y,-z'
'-x,y,-z'
'x,-y,z'
loop_
_atom_site_label
_atom_site_type_symbol
_atom_site_fract_x
_atom_site_fract_y
_atom_site_fract_z
_atom_site_occupancy
Li1 Li 0.000 0.000 0.000 1
Li2 Li 0.000 0.500 0.500 1
Tb1 Tb 0.500 0.000 0.500 1
Bi1 Bi 0.500 0.500 0.000 1
S1 S 0.240 0.000 0.740 1
S2 S 0.247 0.500 0.254 1
```

(4)
# Li4Tb3BiS8

An optimized crystal structure of Li4Tb3BiS8 (GGA-PBE, Alexandria).

Geometry as CIF:
```
data_Li4Tb3BiS8
_cell_length_a 7.8993
_cell_length_b 7.8993
_cell_length_c 18.6438
_cell_angle_alpha 90.00
_cell_angle_beta 90.00
_cell_angle_gamma 120.00
_symmetry_space_group_name_H-M 'R -3 m'
_symmetry_Int_Tables_number 166
_symmetry_space_group_name_Hall '-R 3 2"'
loop_
_atom_site_label
_atom_site_type_symbol
_atom_site_fract_x
_atom_site_fract_y
_atom_site_fract_z
_atom_site_occupancy
Li1 Li 0.0000 0.0000 0.0000 1
Li2 Li 0.0000 0.5000 0.0000 1
Tb1 Tb 0.0000 0.5000 0.5000 1
Bi1 Bi 0.0000 0.0000 0.5000 1
S1 S 0.0000 0.0000 0.2498 1
S2 S 0.0053 0.5026 0.7484 1
```

(5)
# Li3Tb2BiS6

An optimized crystal structure of Li3Tb2BiS6 (GGA-PBE, Alexandria).

Geometry as CIF:
```
data_Li3Tb2BiS6
_cell_length_a 6.850
_cell_length_b 11.868
_cell_length_c 6.626
_cell_angle_alpha 90.00
_cell_angle_beta 110.17
_cell_angle_gamma 90.00
_symmetry_space_group_name_H-M 'C 1 2/m 1'
_symmetry_Int_Tables_number 12
loop_
_symmetry_equiv_pos_as_xyz
'x,y,z'
'-x,-y,-z'
'-x,y,-z'
'x,-y,z'
'x+1/2,y+1/2,z'
'-x+1/2,-y+1/2,-z'
'-x+1/2,y+1/2,-z'
'x+1/2,-y+1/2,z'
loop_
_atom_site_label
_atom_site_type_symbol
_atom_site_fract_x
_atom_site_fract_y
_atom_site_fract_z
_atom_site_occupancy
Li1 Li 0.000 0.000 0.000 1
Li2 Li 0.000 0.339 0.000 1
Tb1 Tb 0.000 0.167 0.500 1
Bi1 Bi 0.000 0.500 0.500 1
S1 S 0.245 0.000 0.755 1
S2 S 0.245 0.170 0.246 1
```

(6)
# Li2ThBiS4

An optimized crystal structure of Li2ThBiS4 (GGA-PBE, Alexandria).

Geometry as CIF:
```
data_Li2ThBiS4
_cell_length_a 6.991
_cell_length_b 3.979
_cell_length_c 7.480
_cell_angle_alpha 90.00
_cell_angle_beta 114.26
_cell_angle_gamma 90.00
_symmetry_space_group_name_H-M 'P 1 2/m 1'
_symmetry_Int_Tables_number 10
loop_
_symmetry_equiv_pos_as_xyz
'x,y,z'
'-x,-y,-z'
'-x,y,-z'
'x,-y,z'
loop_
_atom_site_label
_atom_site_type_symbol
_atom_site_fract_x
_atom_site_fract_y
_atom_site_fract_z
_atom_site_occupancy
Li1 Li 0.000 0.000 0.000 1
Li2 Li 0.500 0.500 0.500 1
Th1 Th 0.000 0.000 0.500 1
Bi1 Bi 0.500 0.500 0.000 1
S1 S 0.059 0.500 0.266 1
S2 S 0.436 0.000 0.713 1
```

(7)
# LiTlBi2S4

An optimized crystal structure of LiTlBi2S4 (GGA-PBE, Alexandria).

Geometry as CIF:
```
data_LiTlBi2S4
_cell_length_a 4.099
_cell_length_b 13.746
_cell_length_c 14.436
_cell_angle_alpha 90.00
_cell_angle_beta 90.00
_cell_angle_gamma 90.00
_symmetry_space_group_name_H-M 'C m c m'
_symmetry_Int_Tables_number 63
_symmetry_space_group_name_Hall '-C 2c 2'
loop_
_atom_site_label
_atom_site_type_symbol
_atom_site_fract_x
_atom_site_fract_y
_atom_site_fract_z
_atom_site_occupancy
Li1 Li 0.000 0.166 0.250 1
Tl1 Tl 0.000 0.100 0.750 1
Bi1 Bi 0.000 0.365 0.561 1
S1 S 0.000 0.000 0.000 1
S2 S 0.000 0.264 0.110 1
S3 S 0.000 0.427 0.750 1
```

(8)
# Li2TlBi3S6

An optimized crystal structure of Li2TlBi3S6 (GGA-PBE, Alexandria).

Geometry as CIF:
```
data_Li2TlBi3S6
_cell_length_a 17.376
_cell_length_b 4.070
_cell_length_c 8.600
_cell_angle_alpha 90.00
_cell_angle_beta 102.42
_cell_angle_gamma 90.00
_symmetry_space_group_name_H-M 'C 1 2/m 1'
_symmetry_Int_Tables_number 12
loop_
_symmetry_equiv_pos_as_xyz
'x,y,z'
'-x,-y,-z'
'-x,y,-z'
'x,-y,z'
'x+1/2,y+1/2,z'
'-x+1/2,-y+1/2,-z'
'-x+1/2,y+1/2,-z'
'x+1/2,-y+1/2,z'
loop_
_atom_site_label
_atom_site_type_symbol
_atom_site_fract_x
_atom_site_fract_y
_atom_site_fract_z
_atom_site_occupancy
Li1 Li 0.166 0.000 0.279 1
Tl1 Tl 0.000 0.500 0.000 1
Bi1 Bi 0.000 0.500 0.500 1
Bi2 Bi 0.165 0.000 0.832 1
S1 S 0.017 0.000 0.282 1
S2 S 0.169 0.500 0.619 1
S3 S 0.178 0.500 0.101 1
```

no.,DFT total energy (eV/atom)
1,-4.49
2,-4.38
3,-4.90
4,-5.22
5,-5.11
6,-5.12
7,-4.13
8,-4.16